Here is MnNbCoF2 after structural relaxation from Alexandria via LeMat-Bulk. Energies are from GGA+U.

Lattice parameters (Å, degrees): 4.075 4.075 5.815 90.00 90.00 90.00
Fractional positions:
Mn (0.000, 0.000, 0.000)
Nb (0.000, 0.000, 0.500)
Co (0.500, 0.500, 0.000)
F (0.000, 0.500, 0.500)
F (0.500, 0.000, 0.500)

Summary:
Calculated volume: 96.6 Å³/cell
E_tot: -5.77 eV/atom
Space-group type: P4/mmm